## Al2TeSO (PBE-GGA)

Data for Al2TeSO after structural relaxation.

Output
Formation energy from raw total energies (kcal/mol of atoms): 4.46
Magnetization (Bohr magnetons per cell): 0.0

a = 5.3332 Å, b = 3.9830 Å, c = 5.3332 Å
α = 90.00°, β = 90.00°, γ = 90.00°
Atoms (fractional coordinates):
S (0.5000, 0.5000, 0.5000)
Te (0.0000, 0.0000, 0.0000)
Al (0.0000, 0.0000, 0.5000)
Al (0.5000, 0.0000, 0.0000)
O (0.0000, 0.5000, 0.0000)